The following is a DFT calculation (PBE) of crystalline TaAu2S at its relaxed geometry. Values from VASP.

Values from the calculation:
Its total magnetic moment is 0.00 μB/cell. The value obtained for the total energy is -5.46 eV/atom. The calculation puts the volume at 18.45 Å³/atom. As for the uncorrected formation energy: 66 kJ/mol of formula units. As for the space group: I-42d.

Geometry as Quantum ESPRESSO input:
```
&SYSTEM
  ibrav = 0, nat = 16, ntyp = 3
/
ATOMIC_SPECIES
Ta 180.95 Ta.upf
Au 196.97 Au.upf
S 32.06 S.upf
ATOMIC_POSITIONS angstrom
Ta 0.0000 0.0000 0.0000
Ta 0.0000 3.7789 1.2923
Ta 3.7789 0.0000 3.8768
Ta 3.7789 3.7789 2.5845
Au 1.8166 1.8895 3.2306
Au 1.8895 5.5955 4.5229
Au 1.8895 5.7412 1.9384
Au 1.9623 1.8895 0.6461
Au 5.5955 5.6684 0.6461
Au 5.6684 1.8166 1.9384
Au 5.6684 1.9623 4.5229
Au 5.7412 5.6684 3.2306
S 0.0000 0.0000 2.5845
S 0.0000 3.7789 3.8768
S 3.7789 0.0000 1.2923
S 3.7789 3.7789 0.0000
CELL_PARAMETERS angstrom
7.5578 0.0000 0.0000
0.0000 7.5578 0.0000
0.0000 0.0000 5.1690
```